(1)
VASP calculation (PBE-GGA) on Ba2PuO6 after structural relaxation.

Lattice parameters (Å, degrees): 4.4953 5.7761 6.8884 114.79 109.04 90.00
Closest atoms and distances in Å follow each position.
Fractional positions:
O: 0.1277 0.3525 0.2554  1 Pu 1.98
O: 0.5000 0.1752 0.0000  1 O 2.02
O: 0.1277 0.9029 0.2554  1 Pu 1.98
O: 0.8723 0.6475 0.7446  1 Pu 1.98
O: 0.8723 0.0971 0.7446  1 Pu 1.98
O: 0.5000 0.8248 0.0000  1 O 2.02
Ba: 0.3387 0.3387 0.6774  8 O 2.66-2.78
Ba: 0.6613 0.6613 0.3226  8 O 2.66-2.78
Pu: 0.0000 0.0000 0.0000  4 O 1.98

Results
The symmetry is Immm (71). For the raw total energy, the calculation gives -7.6738 eV/atom. The calculation puts the mass density at 6.736 g cm⁻³. The value obtained for the uncorrected formation energy is -2349 meV per atom.

(2)
VASP calculation (PBE-GGA) on BaPuO2 after structural relaxation.

Lattice parameters (Å, degrees): 3.6443 3.6443 6.6114 74.00 74.00 60.00
Closest atoms and distances in Å follow each position.
Fractional positions:
Pu: 0.0000 0.0000 0.0000  6 O 2.42
O: 0.2694 0.2694 0.1919  3 Pu 2.42
O: 0.7306 0.7306 0.8081  3 Pu 2.42
Ba: 0.5000 0.5000 0.5000  6 O 2.86

Results
The symmetry is R-3m (166). As for the density of states at the Fermi level: 5.0 states/eV per cell. For the raw total energy, the calculation gives -9.0065 eV/atom. The calculation puts the mass density at 9.521 g cm⁻³. The value obtained for the uncorrected formation energy is -2464 meV per atom.

no.,distance to the lowest polymorph of the same formula (meV per atom)
1,120
2,0